1.
Material: HfBeNi2
Method: DFT, PBE
State: relaxed

Cell lengths 3.8659, 3.8659, 12.1465 Å; angles 90.00, 90.00, 120.00 degrees
Space group R-3m (No. 166, hexagonal axes)
Unique sites:
Hf (0.0000, 0.0000, 0.0000) (multiplicity 3)
Be (0.0000, 0.0000, 0.5000) (multiplicity 3)
Ni (0.0000, 0.0000, 0.2133) (multiplicity 6)

Summary:
Calculated formation energy: -386 meV per atom



2.
Material: HoOsO5
Method: DFT, PBE
State: relaxed

Cell lengths 8.974, 6.414, 7.496 Å; angles 90.00, 114.67, 90.00 degrees
Space group C2/c (No. 15)
Unique sites:
Ho (0.000, 0.044, 0.250) (multiplicity 4)
Os (0.000, 0.500, 0.000) (multiplicity 4)
O (0.000, 0.409, 0.250) (multiplicity 4)
O (0.013, 0.205, 0.964) (multiplicity 8)
O (0.221, 0.483, 0.614) (multiplicity 8)

Summary:
Electronic total energy: -214.8 eV/cell



3.
Material: La3CeTe4
Method: DFT, PBE
State: relaxed

Cell lengths 7.939, 9.077, 7.901 Å; angles 90.00, 109.25, 90.00 degrees
Space group P2/c (No. 13)
Unique sites:
La (0.000, 0.125, 0.250) (multiplicity 2)
La (0.000, 0.375, 0.750) (multiplicity 2)
La (0.500, 0.126, 0.750) (multiplicity 2)
Ce (0.500, 0.377, 0.250) (multiplicity 2)
Te (0.252, 0.127, 0.002) (multiplicity 4)
Te (0.253, 0.377, 0.499) (multiplicity 4)

Summary:
Electronic total energy: -91.2 eV/cell



4.
Material: Be3Tl2Zn2F12
Method: DFT, PBE
State: relaxed

Cell lengths 10.211, 10.211, 10.211 Å; angles 90.00, 90.00, 90.00 degrees
Space group P2_13 (No. 198)
Unique sites:
Be (0.021, 0.211, 0.376) (multiplicity 12)
Tl (0.046, 0.046, 0.046) (multiplicity 4)
Tl (0.184, 0.316, 0.684) (multiplicity 4)
Zn (0.101, 0.899, 0.399) (multiplicity 4)
Zn (0.165, 0.665, 0.835) (multiplicity 4)
F (0.004, 0.561, 0.770) (multiplicity 12)
F (0.014, 0.066, 0.327) (multiplicity 12)
F (0.047, 0.801, 0.229) (multiplicity 12)
F (0.097, 0.835, 0.752) (multiplicity 12)

Summary:
Electronic total energy: -367.6 eV/cell



Number 1: magnetization 0.0 Bohr magnetons per cell. Number 2: magnetization 3.9 Bohr magnetons per cell. Number 3: magnetization 2.6 Bohr magnetons per cell. Number 4: magnetization 0.0 Bohr magnetons per cell.